Entry 1:
Here is a geometry-optimized La2OsF structure from Alexandria. Energies are from PBE.

Values from the calculation:
V   21.5 Å³ per atom
M_tot   0.00 μB/cell
Energy above the most stable polymorph in this dataset   5.03 kcal/mol of atoms
Crystal system   cubic
E   -6.799 eV/atom

abc: 4.9528 4.9528 4.9528
angles: 60.00 60.00 60.00
Atoms (fractional coordinates):
La1 0.2500 0.2500 0.2500
La2 0.7500 0.7500 0.7500
Os1 0.5000 0.5000 0.5000
F1 0.0000 0.0000 0.0000


Entry 2:
Here is a geometry-optimized VOs3S structure from Alexandria. Energies are from PBE.

Values from the calculation:
V   16.1 Å³ per atom
M_tot   2.21 μB/cell
Energy above the most stable polymorph in this dataset   0.00 kcal/mol of atoms
Crystal system   cubic
E   -8.337 eV/atom

abc: 4.3214 4.3214 4.3214
angles: 90.00 90.00 90.00
Site moments in Bohr magnetons follow the coordinates.
Atoms (fractional coordinates):
Os1 0.5000 0.0000 0.0000  -0.14
Os2 0.0000 0.0000 0.5000  -0.14
Os3 0.0000 0.5000 0.0000  -0.14
S1 0.0000 0.0000 0.0000  0.06
V1 0.5000 0.5000 0.5000  2.20


Computed energy relative to the elements, uncorrected, in the same sequence as the records: -1.060, 1.050 eV per atom.